A geometry-optimized Sr2NbHg structure. Source: Alexandria, functional GGA-PBE.

```
Sr2NbHg
1.0
-4.451 4.451 3.303
4.451 -4.451 3.303
4.451 4.451 -3.303
Sr Nb Hg
4 2 2
Direct
0.107 0.625 0.982
0.375 0.357 0.482
0.643 0.125 0.018
0.875 0.893 0.518
0.250 0.750 0.500
0.500 0.500 0.000
0.000 0.000 0.000
0.750 0.250 0.500
```

Properties
* calculated total energy: -2.753 eV/atom
* formation energy from the elements: 0.68 eV/atom